Record 1
The following is a DFT calculation (GGA-PBE) of BaNaCl after structural relaxation.

Cell and atoms, written as POSCAR:
```
BaNaCl
1.0
-3.378 -1.933 1.738
3.904 -0.735 1.545
-0.816 5.724 4.782
Na Ba Cl
1 1 1
Direct
0.000 0.000 0.928
0.667 0.333 0.392
0.333 0.667 0.680
```

Results
SG: P3m1 (156)

***

Record 2
The following is a DFT calculation (GGA-PBE) of Ac2TbGe2 after structural relaxation.

Cell and atoms, written as POSCAR:
```
Ac2TbGe2
1.0
4.611 0.000 0.000
2.306 6.583 0.090
2.306 1.128 10.157
Ac Tb Ge
4 2 4
Direct
0.320 0.268 0.092
0.485 0.342 0.688
0.680 0.732 0.908
0.515 0.658 0.312
0.772 0.083 0.372
0.228 0.917 0.628
0.997 0.119 0.887
0.118 0.321 0.443
0.003 0.881 0.113
0.882 0.679 0.557
```

Results
SG: C2/m (12)
DFT formation energy (eV per formula unit): -3.35

***

Record 3
The following is a DFT calculation (GGA-PBE) of KNi2Ir after structural relaxation.

Cell and atoms, written as POSCAR:
```
KNi2Ir
1.0
-1.576 2.559 3.181
-3.603 2.014 1.456
-1.956 -5.046 3.894
Ir K Ni
1 1 2
Direct
0.750 0.750 0.750
0.250 0.250 0.250
0.016 0.016 0.895
0.484 0.484 0.605
```

Results
SG: C2/m (12)
DFT formation energy (eV per formula unit): 1.92

***

Record 4
The following is a DFT calculation (GGA-PBE) of AlAgIrN2 after structural relaxation.

Cell and atoms, written as POSCAR:
```
AlAgIrN2
1.0
3.899 0.000 0.000
0.000 5.422 0.000
0.000 0.000 3.899
Ir Al Ag N
1 1 1 2
Direct
0.500 0.500 0.500
0.000 0.500 0.000
0.000 0.000 0.000
0.000 0.000 0.500
0.500 0.000 0.000
```

Results
SG: P4/mmm (123)

***

Record 5
The following is a DFT calculation (GGA-PBE) of Pm6Bi3TeAs2 after structural relaxation.

Cell and atoms, written as POSCAR:
```
Pm6Bi3TeAs2
1.0
4.431 0.000 0.000
0.000 8.928 0.312
-2.215 -2.578 9.341
Pm Bi Te As
6 3 1 2
Direct
0.330 0.898 0.660
0.672 0.571 0.344
0.670 0.102 0.340
0.009 0.256 0.017
0.991 0.744 0.983
0.328 0.429 0.656
0.500 0.500 0.000
0.837 0.167 0.675
0.163 0.833 0.325
0.500 0.000 0.000
0.832 0.665 0.664
0.168 0.335 0.336
```

Results
SG: C2/m (12)

***

Record 6
The following is a DFT calculation (GGA-PBE) of Sm4HgRh2 after structural relaxation.

Cell and atoms, written as POSCAR:
```
Sm4HgRh2
1.0
7.315 0.000 -2.692
-3.609 6.421 -2.551
-0.097 0.000 7.794
Sm Hg Rh
8 2 4
Direct
0.149 0.888 0.394
0.606 0.755 0.494
0.011 0.612 0.756
0.244 0.255 0.856
0.601 0.745 0.989
0.739 0.245 0.851
0.506 0.112 0.261
0.144 0.388 0.399
0.000 0.000 0.000
0.750 0.500 0.250
0.875 0.124 0.499
0.501 0.376 0.625
0.375 0.876 0.751
0.249 0.624 0.125
```

Results
SG: I-42d (122)
DFT formation energy (eV per formula unit): -3.73

***

Record 7
The following is a DFT calculation (GGA-PBE) of VCo2Ir after structural relaxation.

Cell and atoms, written as POSCAR:
```
VCo2Ir
1.0
-3.369 0.901 0.621
-1.084 -2.473 -2.293
-2.591 -6.530 5.530
Ir Co V
2 4 2
Direct
0.000 0.000 0.000
0.750 0.250 0.500
0.622 0.125 0.250
0.128 0.625 0.250
0.375 0.378 0.750
0.875 0.872 0.750
0.500 0.500 0.000
0.250 0.750 0.500
```

Results
SG: I-42d (122)
DFT formation energy (eV per formula unit): 1.21

***

Record 8
The following is a DFT calculation (GGA-PBE) of CsHgBi after structural relaxation.

Cell and atoms, written as POSCAR:
```
CsHgBi
1.0
5.241 0.002 0.001
-2.623 7.058 -0.070
0.009 -2.579 7.319
Cs Hg Bi
2 2 2
Direct
0.734 0.212 0.889
0.379 0.501 0.432
0.012 0.769 0.814
0.100 0.944 0.508
0.467 0.680 0.983
0.646 0.033 0.339
```

Results
SG: P-1 (2)
DFT formation energy (eV per formula unit): -0.80

***

How do the records compare in magnetization? In the order shown, they have 0.120, 0.000, 0.110, 0.468, 0.000, 0.000, 0.451, 0.000 μB/atom.
How do the records compare in E_tot? In the order shown, they have -8.293, -50.858, -19.604, -21.162, -67.201, -75.227, -61.955, -11.666 eV per cell.